Computed, not measured: Ti3Co4Sn after structural relaxation at the PBE level of DFT.

Volume (A^3/atom): 13.72
Raw total energy (eV per atom): -7.377
Magnetization (μB per formula unit): 3.456

CIF file:
```
data_Ti3Co4Sn
_chemical_formula_sum 'Ti3 Co4 Sn1'
_symmetry_space_group_name_H-M 'P 4/m m m'
_symmetry_Int_Tables_number 123
_symmetry_space_group_name_Hall '-P 4 2'
_cell_length_a 4.235
_cell_length_b 4.235
_cell_length_c 6.119
_cell_angle_alpha 90.00
_cell_angle_beta 90.00
_cell_angle_gamma 90.00
loop_
_atom_site_label
_atom_site_fract_x
_atom_site_fract_y
_atom_site_fract_z
Ti1 0.000 0.000 0.000
Ti2 0.000 0.000 0.500
Ti3 0.500 0.500 0.000
Co1 0.000 0.500 0.233
Sn1 0.500 0.500 0.500
```

---

Computed, not measured: TlCr4Sb after structural relaxation at the PBE level of DFT.

Volume (A^3/atom): 15.14
Formation energy (no corrections) (eV/atom): 0.6168
Raw total energy (eV per atom): -6.880
Magnetization (μB per formula unit): 0.006

CIF file:
```
data_TlCr4Sb
_chemical_formula_sum 'Tl4 Cr16 Sb4'
_symmetry_space_group_name_H-M 'F -4 3 m'
_symmetry_Int_Tables_number 216
_symmetry_space_group_name_Hall 'F -4 2 3'
_cell_length_a 7.136
_cell_length_b 7.136
_cell_length_c 7.136
_cell_angle_alpha 90.00
_cell_angle_beta 90.00
_cell_angle_gamma 90.00
loop_
_atom_site_label
_atom_site_fract_x
_atom_site_fract_y
_atom_site_fract_z
Tl1 0.000 0.000 0.000
Cr1 0.126 0.126 0.626
Sb1 0.250 0.250 0.250
```

---

Computed, not measured: PrYZnHg after structural relaxation at the PBE level of DFT.

Offset from the most stable computed form (meV/atom): 0.0
Volume (A^3/atom): 25.74
Raw total energy (eV per atom): -3.615
Magnetization (μB per formula unit): 0.000

CIF file:
```
data_PrYZnHg
_chemical_formula_sum 'Pr1 Y1 Zn1 Hg1'
_symmetry_space_group_name_H-M 'P 4 m m'
_symmetry_Int_Tables_number 99
_cell_length_a 3.674
_cell_length_b 3.674
_cell_length_c 7.629
_cell_angle_alpha 90.00
_cell_angle_beta 90.00
_cell_angle_gamma 90.00
loop_
_symmetry_equiv_pos_as_xyz
'x,y,z'
'-y,x,z'
'-x,-y,z'
'y,-x,z'
'-x,y,z'
'y,x,z'
'x,-y,z'
'-y,-x,z'
loop_
_atom_site_label
_atom_site_fract_x
_atom_site_fract_y
_atom_site_fract_z
Pr1 0.000 0.000 0.000
Y1 0.000 0.000 0.467
Zn1 0.500 0.500 0.251
Hg1 0.500 0.500 0.714
```

---

Computed, not measured: MgTiTlF6 after structural relaxation at the PBE level of DFT.

Volume (A^3/atom): 16.30
Formation energy (no corrections) (eV/atom): -3.0718
Raw total energy (eV per atom): -5.637
Magnetization (μB per formula unit): 1.010

CIF file:
```
data_MgTiTlF6
_chemical_formula_sum 'Mg4 Ti4 Tl4 F24'
_symmetry_space_group_name_H-M 'I m m a'
_symmetry_Int_Tables_number 74
_symmetry_space_group_name_Hall '-I 2b 2'
_cell_length_a 7.347
_cell_length_b 7.586
_cell_length_c 10.531
_cell_angle_alpha 90.00
_cell_angle_beta 90.00
_cell_angle_gamma 90.00
loop_
_atom_site_label
_atom_site_fract_x
_atom_site_fract_y
_atom_site_fract_z
Mg1 0.250 0.250 0.250
Ti1 0.000 0.000 0.000
Tl1 0.000 0.250 0.571
F1 0.000 0.250 0.319
F2 0.000 0.250 0.938
F3 0.195 0.059 0.122
```

---

Computed, not measured: Ca2InGa6 after structural relaxation at the PBE level of DFT.

Volume (A^3/atom): 21.43
Raw total energy (eV per atom): -3.105
Magnetization (μB per formula unit): 0.000

CIF file:
```
data_Ca2InGa6
_chemical_formula_sum 'Ca2 In1 Ga6'
_symmetry_space_group_name_H-M 'P -3 m 1'
_symmetry_Int_Tables_number 164
_symmetry_space_group_name_Hall '-P 3 2"'
_cell_length_a 6.0567
_cell_length_b 6.0567
_cell_length_c 6.0701
_cell_angle_alpha 90.00
_cell_angle_beta 90.00
_cell_angle_gamma 120.00
loop_
_atom_site_label
_atom_site_fract_x
_atom_site_fract_y
_atom_site_fract_z
Ca1 0.3333 0.6667 0.1379
In1 0.0000 0.0000 0.0000
Ga1 0.1836 0.3673 0.6530
```

---

Computed, not measured: Ac3MgCo after structural relaxation at the PBE level of DFT.

Volume (A^3/atom): 35.53
Raw total energy (eV per atom): -4.237
Magnetization (μB per formula unit): 0.000

CIF file:
```
data_Ac3MgCo
_chemical_formula_sum 'Ac3 Mg1 Co1'
_symmetry_space_group_name_H-M 'P m -3 m'
_symmetry_Int_Tables_number 221
_symmetry_space_group_name_Hall '-P 4 2 3'
_cell_length_a 5.621
_cell_length_b 5.621
_cell_length_c 5.621
_cell_angle_alpha 90.00
_cell_angle_beta 90.00
_cell_angle_gamma 90.00
loop_
_atom_site_label
_atom_site_fract_x
_atom_site_fract_y
_atom_site_fract_z
Ac1 0.000 0.000 0.500
Mg1 0.500 0.500 0.500
Co1 0.000 0.000 0.000
```